A.
# CsTe2F (PBE-GGA, optimized geometry)
# DOS(E_F) = 0.37 states/eV/atom
data_CsTe2F
_chemical_formula_sum 'Cs4 Te8 F4'
_space_group_name_H-M_alt 'I -4 2 d'
_space_group_IT_number 122
_space_group_name_Hall 'I -4 2bw'
_cell_length_a 6.0252
_cell_length_b 6.0252
_cell_length_c 17.1901
_cell_angle_alpha 90.00
_cell_angle_beta 90.00
_cell_angle_gamma 90.00
loop_
_atom_site_label
_atom_site_type_symbol
_atom_site_fract_x
_atom_site_fract_y
_atom_site_fract_z
_atom_site_occupancy
Cs1 Cs 0.0000 0.0000 0.0000 1
Te1 Te 0.0017 0.2500 0.6250 1
F1 F 0.0000 0.0000 0.5000 1


B.
# CsTe2F (PBE-GGA, optimized geometry)
# DOS(E_F) = 1.04 states/eV/atom
data_CsTe2F
_chemical_formula_sum 'Cs3 Te6 F3'
_space_group_name_H-M_alt 'R -3 m'
_space_group_IT_number 166
_space_group_name_Hall '-R 3 2"'
_cell_length_a 3.5310
_cell_length_b 3.5310
_cell_length_c 31.3506
_cell_angle_alpha 90.00
_cell_angle_beta 90.00
_cell_angle_gamma 120.00
loop_
_atom_site_label
_atom_site_type_symbol
_atom_site_fract_x
_atom_site_fract_y
_atom_site_fract_z
_atom_site_occupancy
Cs1 Cs 0.0000 0.0000 0.0000 1
Te1 Te 0.0000 0.0000 0.2302 1
F1 F 0.0000 0.0000 0.5000 1


Referenced to the most stable arrangement, the calculated values in kJ/mol of atoms are A 0.0; B 52.1.


A.
# Cs2TlTeF6 (PBE-GGA, optimized geometry)
# DOS(E_F) = 0.00 states/eV/atom
data_Cs2TlTeF6
_chemical_formula_sum 'Cs4 Tl2 Te2 F12'
_space_group_name_H-M_alt 'I 4/m m m'
_space_group_IT_number 139
_space_group_name_Hall '-I 4 2'
_cell_length_a 6.7888
_cell_length_b 6.7888
_cell_length_c 10.6910
_cell_angle_alpha 90.00
_cell_angle_beta 90.00
_cell_angle_gamma 90.00
loop_
_atom_site_label
_atom_site_type_symbol
_atom_site_fract_x
_atom_site_fract_y
_atom_site_fract_z
_atom_site_occupancy
Cs1 Cs 0.0000 0.5000 0.2500 1
Tl1 Tl 0.0000 0.0000 0.0000 1
Te1 Te 0.0000 0.0000 0.5000 1
F1 F 0.0000 0.0000 0.2451 1
F2 F 0.2193 0.2193 0.5000 1


B.
Compound: Cs2TlTeF6
Source: Alexandria
Functional: PBE-GGA
Structure: optimized geometry

```
data_Cs2TlTeF6
_chemical_formula_sum 'Cs12 Tl6 Te6 F36'
_space_group_name_H-M_alt 'R -3 m'
_space_group_IT_number 166
_space_group_name_Hall '-R 3 2"'
_cell_length_a 7.3898
_cell_length_b 7.3898
_cell_length_c 31.5560
_cell_angle_alpha 90.00
_cell_angle_beta 90.00
_cell_angle_gamma 120.00
loop_
_atom_site_label
_atom_site_type_symbol
_atom_site_fract_x
_atom_site_fract_y
_atom_site_fract_z
_atom_site_occupancy
Cs1 Cs 0.0000 0.0000 0.1315 1
Cs2 Cs 0.0000 0.0000 0.2595 1
Tl1 Tl 0.0000 0.0000 0.4022 1
Te1 Te 0.0000 0.0000 0.0000 1
Te2 Te 0.0000 0.0000 0.5000 1
F1 F 0.0013 0.5007 0.8625 1
F2 F 0.0712 0.5356 0.7065 1
```


Referenced to the most stable arrangement, the calculated values in kJ/mol of atoms are A 1.1; B 0.0.